P.
Here is crystalline Eu2TlH at its relaxed geometry from the Alexandria database. Energies are from PBE.

Cell lengths 3.4530, 3.4530, 8.0939 Å; angles 90.00, 90.00, 90.00 degrees
Positions (direct):
Eu: 0.0000 0.0000 0.2069
Eu: 0.0000 0.0000 0.7931
Tl: 0.5000 0.5000 0.5000
H: 0.5000 0.5000 0.0000

Q.
Here is crystalline Eu2TlH at its relaxed geometry from the Alexandria database. Energies are from PBE.

Cell lengths 3.8588, 3.8588, 24.0704 Å; angles 90.00, 90.00, 120.00 degrees
Positions (direct):
Eu: 0.0000 0.0000 0.2276
Eu: 0.0000 0.0000 0.7724
Eu: 0.3333 0.6667 0.4390
Eu: 0.3333 0.6667 0.8943
Eu: 0.6667 0.3333 0.1057
Eu: 0.6667 0.3333 0.5610
Tl: 0.0000 0.0000 0.0000
Tl: 0.3333 0.6667 0.6667
Tl: 0.6667 0.3333 0.3333
H: 0.0000 0.0000 0.5000
H: 0.3333 0.6667 0.1667
H: 0.6667 0.3333 0.8333

Tell me which of them is the most stable. Sure, it is Q.

P.
Here is crystalline Eu2TmH at its relaxed geometry from the Alexandria database. Energies are from PBE.

Cell lengths 3.4176, 3.4176, 9.0552 Å; angles 90.00, 90.00, 90.00 degrees
Positions (direct):
Eu: 0.0000 0.0000 0.1854
Eu: 0.0000 0.0000 0.8146
Tm: 0.5000 0.5000 0.5000
H: 0.5000 0.5000 0.0000

Q.
Here is crystalline Eu2TmH at its relaxed geometry from the Alexandria database. Energies are from PBE.

Cell lengths 3.6710, 3.6710, 27.3497 Å; angles 90.00, 90.00, 120.00 degrees
Positions (direct):
Eu: 0.0000 0.0000 0.2218
Eu: 0.0000 0.0000 0.7782
Eu: 0.3333 0.6667 0.4448
Eu: 0.3333 0.6667 0.8885
Eu: 0.6667 0.3333 0.1115
Eu: 0.6667 0.3333 0.5552
Tm: 0.0000 0.0000 0.0000
Tm: 0.3333 0.6667 0.6667
Tm: 0.6667 0.3333 0.3333
H: 0.0000 0.0000 0.5000
H: 0.3333 0.6667 0.1667
H: 0.6667 0.3333 0.8333

Tell me which of them is the most stable. Sure, it is Q.

P.
Here is crystalline Eu2YH at its relaxed geometry from the Alexandria database. Energies are from PBE.

Cell lengths 3.4392, 3.4392, 9.1480 Å; angles 90.00, 90.00, 90.00 degrees
Positions (direct):
Eu: 0.0000 0.0000 0.1834
Eu: 0.0000 0.0000 0.8166
Y: 0.5000 0.5000 0.5000
H: 0.5000 0.5000 0.0000

Q.
Here is crystalline Eu2YH at its relaxed geometry from the Alexandria database. Energies are from PBE.

Cell lengths 3.6154, 3.6154, 29.3508 Å; angles 90.00, 90.00, 120.00 degrees
Positions (direct):
Eu: 0.0000 0.0000 0.1167
Eu: 0.0000 0.0000 0.8833
Eu: 0.3333 0.6667 0.5500
Eu: 0.3333 0.6667 0.7833
Eu: 0.6667 0.3333 0.2167
Eu: 0.6667 0.3333 0.4500
Y: 0.0000 0.0000 0.0000
Y: 0.3333 0.6667 0.6667
Y: 0.6667 0.3333 0.3333
H: 0.0000 0.0000 0.5000
H: 0.3333 0.6667 0.1667
H: 0.6667 0.3333 0.8333

Tell me which of them is the most stable. Sure, it is Q.

P.
Here is crystalline EuYH at its relaxed geometry from the Alexandria database. Energies are from PBE.

Cell lengths 6.0532, 3.7173, 6.6572 Å; angles 90.00, 90.37, 90.00 degrees
Positions (direct):
Eu: 0.2494 0.2500 0.4053
Eu: 0.7506 0.7500 0.5947
Y: 0.2659 0.7500 0.9209
Y: 0.7341 0.2500 0.0791
H: 0.3698 0.2500 0.0677
H: 0.6302 0.7500 0.9323

Q.
Here is crystalline EuYH at its relaxed geometry from the Alexandria database. Energies are from PBE.

Cell lengths 3.6741, 3.6741, 5.9508 Å; angles 90.00, 90.00, 120.00 degrees
Positions (direct):
Eu: 0.0000 0.0000 0.0000
Y: 0.6667 0.3333 0.5168
H: 0.3333 0.6667 0.7316

Tell me which of them is the most stable. Sure, it is P.

P.
Here is crystalline EuHo2Hf at its relaxed geometry from the Alexandria database. Energies are from PBE.

Cell lengths 3.4334, 3.4334, 10.2687 Å; angles 90.00, 90.00, 90.00 degrees
Positions (direct):
Eu: 0.0000 0.0000 0.0000
Ho: 0.5000 0.5000 0.2852
Ho: 0.5000 0.5000 0.7148
Hf: 0.0000 0.0000 0.5000

Q.
Here is crystalline EuHo2Hf at its relaxed geometry from the Alexandria database. Energies are from PBE.

Cell lengths 3.4574, 3.4574, 34.5744 Å; angles 90.00, 90.00, 120.00 degrees
Positions (direct):
Eu: 0.0000 0.0000 0.0000
Eu: 0.3333 0.6667 0.6667
Eu: 0.6667 0.3333 0.3333
Ho: 0.0000 0.0000 0.2415
Ho: 0.0000 0.0000 0.7585
Ho: 0.3333 0.6667 0.4251
Ho: 0.3333 0.6667 0.9082
Ho: 0.6667 0.3333 0.0918
Ho: 0.6667 0.3333 0.5749
Hf: 0.0000 0.0000 0.5000
Hf: 0.3333 0.6667 0.1667
Hf: 0.6667 0.3333 0.8333

Tell me which of them is the most stable. Sure, it is P.

P.
Here is crystalline EuHfIn2 at its relaxed geometry from the Alexandria database. Energies are from PBE.

Cell lengths 3.2835, 3.2835, 9.2577 Å; angles 90.00, 90.00, 90.00 degrees
Positions (direct):
Eu: 0.0000 0.0000 0.0000
Hf: 0.0000 0.0000 0.5000
In: 0.5000 0.5000 0.2706
In: 0.5000 0.5000 0.7294

Q.
Here is crystalline EuHfIn2 at its relaxed geometry from the Alexandria database. Energies are from PBE.

Cell lengths 3.3680, 3.3680, 31.5740 Å; angles 90.00, 90.00, 120.00 degrees
Positions (direct):
Eu: 0.0000 0.0000 0.0000
Eu: 0.3333 0.6667 0.6667
Eu: 0.6667 0.3333 0.3333
Hf: 0.0000 0.0000 0.5000
Hf: 0.3333 0.6667 0.1667
Hf: 0.6667 0.3333 0.8333
In: 0.0000 0.0000 0.2444
In: 0.0000 0.0000 0.7556
In: 0.3333 0.6667 0.4222
In: 0.3333 0.6667 0.9111
In: 0.6667 0.3333 0.0889
In: 0.6667 0.3333 0.5778

Tell me which of them is the most stable. Sure, it is P.

P.
Here is crystalline La2EuHf at its relaxed geometry from the Alexandria database. Energies are from PBE.

Cell lengths 3.3999, 3.3999, 38.3612 Å; angles 90.00, 90.00, 120.00 degrees
Positions (direct):
La: 0.0000 0.0000 0.0797
La: 0.0000 0.0000 0.9203
La: 0.3333 0.6667 0.5870
La: 0.3333 0.6667 0.7464
La: 0.6667 0.3333 0.2536
La: 0.6667 0.3333 0.4130
Eu: 0.0000 0.0000 0.5000
Eu: 0.3333 0.6667 0.1667
Eu: 0.6667 0.3333 0.8333
Hf: 0.0000 0.0000 0.0000
Hf: 0.3333 0.6667 0.6667
Hf: 0.6667 0.3333 0.3333

Q.
Here is crystalline La2EuHf at its relaxed geometry from the Alexandria database. Energies are from PBE.

Cell lengths 3.5782, 3.5782, 10.3624 Å; angles 90.00, 90.00, 90.00 degrees
Positions (direct):
La: 0.0000 0.0000 0.2174
La: 0.0000 0.0000 0.7826
Eu: 0.5000 0.5000 0.5000
Hf: 0.5000 0.5000 0.0000

Tell me which of them is the most stable. Sure, it is Q.

P.
Here is crystalline EuHfSc2 at its relaxed geometry from the Alexandria database. Energies are from PBE.

Cell lengths 3.2943, 3.2943, 9.8639 Å; angles 90.00, 90.00, 90.00 degrees
Positions (direct):
Eu: 0.0000 0.0000 0.0000
Hf: 0.0000 0.0000 0.5000
Sc: 0.5000 0.5000 0.2864
Sc: 0.5000 0.5000 0.7136

Q.
Here is crystalline EuHfSc2 at its relaxed geometry from the Alexandria database. Energies are from PBE.

Cell lengths 3.2028, 3.2028, 35.3937 Å; angles 90.00, 90.00, 120.00 degrees
Positions (direct):
Eu: 0.0000 0.0000 0.0000
Eu: 0.3333 0.6667 0.6667
Eu: 0.6667 0.3333 0.3333
Hf: 0.0000 0.0000 0.5000
Hf: 0.3333 0.6667 0.1667
Hf: 0.6667 0.3333 0.8333
Sc: 0.0000 0.0000 0.4162
Sc: 0.0000 0.0000 0.5838
Sc: 0.3333 0.6667 0.0828
Sc: 0.3333 0.6667 0.2505
Sc: 0.6667 0.3333 0.7495
Sc: 0.6667 0.3333 0.9172

Tell me which of them is the most stable. Sure, it is P.

P.
Here is crystalline EuHfSn2 at its relaxed geometry from the Alexandria database. Energies are from PBE.

Cell lengths 3.3445, 3.3445, 34.2790 Å; angles 90.00, 90.00, 120.00 degrees
Positions (direct):
Eu: 0.0000 0.0000 0.0000
Eu: 0.3333 0.6667 0.6667
Eu: 0.6667 0.3333 0.3333
Hf: 0.0000 0.0000 0.5000
Hf: 0.3333 0.6667 0.1667
Hf: 0.6667 0.3333 0.8333
Sn: 0.0000 0.0000 0.0949
Sn: 0.0000 0.0000 0.9051
Sn: 0.3333 0.6667 0.5718
Sn: 0.3333 0.6667 0.7615
Sn: 0.6667 0.3333 0.2385
Sn: 0.6667 0.3333 0.4282

Q.
Here is crystalline EuHfSn2 at its relaxed geometry from the Alexandria database. Energies are from PBE.

Cell lengths 3.8511, 3.8511, 6.9879 Å; angles 90.00, 90.00, 90.00 degrees
Positions (direct):
Eu: 0.0000 0.0000 0.0000
Hf: 0.0000 0.0000 0.5000
Sn: 0.5000 0.5000 0.2879
Sn: 0.5000 0.5000 0.7121

Tell me which of them is the most stable. Sure, it is Q.

P.
Here is crystalline EuTm2Hf at its relaxed geometry from the Alexandria database. Energies are from PBE.

Cell lengths 3.3268, 3.3268, 36.6457 Å; angles 90.00, 90.00, 120.00 degrees
Positions (direct):
Eu: 0.0000 0.0000 0.0000
Eu: 0.3333 0.6667 0.6667
Eu: 0.6667 0.3333 0.3333
Tm: 0.0000 0.0000 0.4162
Tm: 0.0000 0.0000 0.5838
Tm: 0.3333 0.6667 0.0829
Tm: 0.3333 0.6667 0.2504
Tm: 0.6667 0.3333 0.7496
Tm: 0.6667 0.3333 0.9171
Hf: 0.0000 0.0000 0.5000
Hf: 0.3333 0.6667 0.1667
Hf: 0.6667 0.3333 0.8333

Q.
Here is crystalline EuTm2Hf at its relaxed geometry from the Alexandria database. Energies are from PBE.

Cell lengths 3.4130, 3.4130, 10.2246 Å; angles 90.00, 90.00, 90.00 degrees
Positions (direct):
Eu: 0.0000 0.0000 0.0000
Tm: 0.5000 0.5000 0.2856
Tm: 0.5000 0.5000 0.7144
Hf: 0.0000 0.0000 0.5000

Tell me which of them is the most stable. Sure, it is Q.

P.
Here is crystalline Eu2HoHg at its relaxed geometry from the Alexandria database. Energies are from PBE.

Cell lengths 7.9529, 7.9529, 7.9529 Å; angles 90.00, 90.00, 90.00 degrees
Positions (direct):
Eu: 0.2500 0.2500 0.2500
Eu: 0.2500 0.2500 0.7500
Eu: 0.2500 0.7500 0.2500
Eu: 0.2500 0.7500 0.7500
Eu: 0.7500 0.2500 0.2500
Eu: 0.7500 0.2500 0.7500
Eu: 0.7500 0.7500 0.2500
Eu: 0.7500 0.7500 0.7500
Ho: 0.0000 0.0000 0.0000
Ho: 0.0000 0.5000 0.5000
Ho: 0.5000 0.0000 0.5000
Ho: 0.5000 0.5000 0.0000
Hg: 0.0000 0.0000 0.5000
Hg: 0.0000 0.5000 0.0000
Hg: 0.5000 0.0000 0.0000
Hg: 0.5000 0.5000 0.5000

Q.
Here is crystalline Eu2HoHg at its relaxed geometry from the Alexandria database. Energies are from PBE.

Cell lengths 3.7888, 3.7888, 9.1740 Å; angles 90.00, 90.00, 90.00 degrees
Positions (direct):
Eu: 0.0000 0.0000 0.2158
Eu: 0.0000 0.0000 0.7842
Ho: 0.5000 0.5000 0.5000
Hg: 0.5000 0.5000 0.0000

R.
Here is crystalline Eu2HoHg at its relaxed geometry from the Alexandria database. Energies are from PBE.

Cell lengths 4.9662, 4.9662, 4.9973 Å; angles 90.00, 90.00, 90.00 degrees
Positions (direct):
Eu: 0.0000 0.5000 0.0000
Eu: 0.5000 0.0000 0.0000
Ho: 0.0000 0.0000 0.5000
Hg: 0.5000 0.5000 0.5000

S.
Here is crystalline Eu2HoHg at its relaxed geometry from the Alexandria database. Energies are from PBE.

Cell lengths 3.6190, 3.6190, 36.0217 Å; angles 90.00, 90.00, 120.00 degrees
Positions (direct):
Eu: 0.0000 0.0000 0.0953
Eu: 0.0000 0.0000 0.9047
Eu: 0.3333 0.6667 0.5714
Eu: 0.3333 0.6667 0.7619
Eu: 0.6667 0.3333 0.2381
Eu: 0.6667 0.3333 0.4286
Ho: 0.0000 0.0000 0.0000
Ho: 0.3333 0.6667 0.6667
Ho: 0.6667 0.3333 0.3333
Hg: 0.0000 0.0000 0.5000
Hg: 0.3333 0.6667 0.1667
Hg: 0.6667 0.3333 0.8333

Tell me which of them is the most stable. Sure, it is Q.

P.
Here is crystalline EuInHg at its relaxed geometry from the Alexandria database. Energies are from PBE.

Cell lengths 5.0780, 5.0780, 3.7071 Å; angles 90.00, 90.00, 120.00 degrees
Positions (direct):
Eu: 0.0000 0.0000 0.0000
In: 0.6667 0.3333 0.5000
Hg: 0.3333 0.6667 0.5000

Q.
Here is crystalline EuInHg at its relaxed geometry from the Alexandria database. Energies are from PBE.

Cell lengths 7.1878, 7.1878, 7.1878 Å; angles 90.00, 90.00, 90.00 degrees
Positions (direct):
Eu: 0.0000 0.0000 0.0000
Eu: 0.0000 0.5000 0.5000
Eu: 0.5000 0.0000 0.5000
Eu: 0.5000 0.5000 0.0000
In: 0.0000 0.0000 0.5000
In: 0.0000 0.5000 0.0000
In: 0.5000 0.0000 0.0000
In: 0.5000 0.5000 0.5000
Hg: 0.2500 0.2500 0.2500
Hg: 0.2500 0.7500 0.7500
Hg: 0.7500 0.2500 0.7500
Hg: 0.7500 0.7500 0.2500

Tell me which of them is the most stable. Sure, it is P.

P.
Here is crystalline LaEuHg at its relaxed geometry from the Alexandria database. Energies are from PBE.

Cell lengths 3.9140, 3.9140, 13.0602 Å; angles 90.00, 90.00, 90.00 degrees
Positions (direct):
La: 0.0000 0.0000 0.0000
La: 0.5000 0.5000 0.5000
Eu: 0.0000 0.0000 0.7117
Eu: 0.5000 0.5000 0.2117
Hg: 0.0000 0.0000 0.3580
Hg: 0.5000 0.5000 0.8580

Q.
Here is crystalline LaEuHg at its relaxed geometry from the Alexandria database. Energies are from PBE.

Cell lengths 7.6078, 7.6078, 7.6078 Å; angles 90.00, 90.00, 90.00 degrees
Positions (direct):
La: 0.0000 0.0000 0.0000
La: 0.0000 0.5000 0.5000
La: 0.5000 0.0000 0.5000
La: 0.5000 0.5000 0.0000
Eu: 0.0000 0.0000 0.5000
Eu: 0.0000 0.5000 0.0000
Eu: 0.5000 0.0000 0.0000
Eu: 0.5000 0.5000 0.5000
Hg: 0.2500 0.2500 0.7500
Hg: 0.2500 0.7500 0.2500
Hg: 0.7500 0.2500 0.2500
Hg: 0.7500 0.7500 0.7500

R.
Here is crystalline LaEuHg at its relaxed geometry from the Alexandria database. Energies are from PBE.

Cell lengths 5.3281, 5.3281, 3.8834 Å; angles 90.00, 90.00, 120.00 degrees
Positions (direct):
La: 0.0000 0.0000 0.0000
Eu: 0.6667 0.3333 0.4213
Hg: 0.3333 0.6667 0.7003

Tell me which of them is the most stable. Sure, it is P.

P.
Here is crystalline LiEuHg at its relaxed geometry from the Alexandria database. Energies are from PBE.

Cell lengths 4.8264, 4.8264, 4.0172 Å; angles 90.00, 90.00, 120.00 degrees
Positions (direct):
Li: 0.0000 0.0000 0.0000
Eu: 0.6667 0.3333 0.5000
Hg: 0.3333 0.6667 0.0000

Q.
Here is crystalline LiEuHg at its relaxed geometry from the Alexandria database. Energies are from PBE.

Cell lengths 3.8027, 3.8027, 10.7732 Å; angles 90.00, 90.00, 90.00 degrees
Positions (direct):
Li: 0.0000 0.0000 0.0000
Li: 0.5000 0.5000 0.5000
Eu: 0.0000 0.0000 0.2956
Eu: 0.5000 0.5000 0.7956
Hg: 0.0000 0.0000 0.6121
Hg: 0.5000 0.5000 0.1121

Tell me which of them is the most stable. Sure, it is P.